[1]
A plane-wave DFT calculation with GGA-PBEsol was carried out for a geometry-optimized LiTa2Ni structure.

ρ = 12.53 g cm⁻³
D(E_F) = 3.91 states/eV/cell
Total moment = 0.0 μB per formula unit

The structure in extended XYZ format:
```
4
Lattice="3.141 0.000 0.000 0.000 3.141 0.000 0.000 0.000 5.742" Properties=species:S:1:pos:R:3 pbc="T T T"
Li 0.000 0.000 0.000
Ta 1.571 1.571 1.450
Ta 1.571 1.571 4.291
Ni 0.000 0.000 2.871
```

=====

[2]
A plane-wave DFT calculation with GGA-PBEsol was carried out for a geometry-optimized LiTa2Ni structure.

ρ = 12.45 g cm⁻³
D(E_F) = 7.07 states/eV/cell
Total moment = 0.0 μB per formula unit

The structure in extended XYZ format:
```
8
Lattice="3.874 0.000 0.000 0.000 3.874 0.000 0.000 0.000 7.599" Properties=species:S:1:pos:R:3 pbc="T T T"
Li 0.000 0.000 0.000
Li 1.937 1.937 3.799
Ta 0.000 1.937 1.900
Ta 0.000 1.937 5.699
Ta 1.937 0.000 1.900
Ta 1.937 0.000 5.699
Ni 0.000 0.000 3.799
Ni 1.937 1.937 0.000
```

=====

[3]
A plane-wave DFT calculation with GGA-PBEsol was carried out for a geometry-optimized Li2TaNi structure.

ρ = 7.62 g cm⁻³
D(E_F) = 17.90 states/eV/cell
Total moment = 0.0 μB per formula unit

The structure in extended XYZ format:
```
16
Lattice="6.777 0.000 0.000 0.000 6.777 0.000 0.000 0.000 4.814" Properties=species:S:1:pos:R:3 pbc="T T T"
Li 1.411 1.694 0.602
Li 1.694 4.800 1.805
Li 1.694 5.365 4.212
Li 1.977 1.694 3.008
Li 4.800 5.082 3.008
Li 5.082 1.411 4.212
Li 5.082 1.977 1.805
Li 5.365 5.082 0.602
Ta 0.000 0.000 2.407
Ta 0.000 3.388 3.610
Ta 3.388 0.000 1.203
Ta 3.388 3.388 0.000
Ni 0.000 0.000 0.000
Ni 0.000 3.388 1.203
Ni 3.388 0.000 3.610
Ni 3.388 3.388 2.407
```

=====

[4]
A plane-wave DFT calculation with GGA-PBEsol was carried out for a geometry-optimized Li2TaNi structure.

ρ = 7.30 g cm⁻³
D(E_F) = 3.45 states/eV/cell
Total moment = 0.0 μB per formula unit

The structure in extended XYZ format:
```
4
Lattice="2.652 0.000 0.000 0.000 3.988 0.000 -1.326 0.000 5.451" Properties=species:S:1:pos:R:3 pbc="T T T"
Li 0.000 0.000 0.000
Li -0.003 1.994 4.418
Ta 1.321 0.000 2.509
Ni -0.005 1.994 1.630
```

=====

[5]
A plane-wave DFT calculation with GGA-PBEsol was carried out for a geometry-optimized LiTcNi2 structure.

ρ = 7.99 g cm⁻³
D(E_F) = 4.62 states/eV/cell
Total moment = 0.0 μB per formula unit

The structure in extended XYZ format:
```
4
Lattice="2.514 0.000 0.000 0.000 3.639 0.000 -0.009 0.000 5.048" Properties=species:S:1:pos:R:3 pbc="T T T"
Li 0.000 0.000 0.000
Tc -0.005 0.000 2.524
Ni 1.253 1.819 1.291
Ni 1.251 1.819 3.757
```

=====

[6]
A plane-wave DFT calculation with GGA-PBEsol was carried out for a geometry-optimized LiTcNi2 structure.

ρ = 7.89 g cm⁻³
D(E_F) = 3.72 states/eV/cell
Total moment = 0.0 μB per formula unit

The structure in extended XYZ format:
```
4
Lattice="2.597 0.000 0.000 0.000 2.597 0.000 0.000 0.000 6.935" Properties=species:S:1:pos:R:3 pbc="T T T"
Li 0.000 0.000 0.000
Tc 0.000 0.000 3.467
Ni 1.299 1.299 1.738
Ni 1.299 1.299 5.197
```

=====

[7]
A plane-wave DFT calculation with GGA-PBEsol was carried out for a geometry-optimized LiTcNi2 structure.

ρ = 8.37 g cm⁻³
D(E_F) = 6.65 states/eV/cell
Total moment = 0.0 μB per formula unit

The structure in extended XYZ format:
```
8
Lattice="2.687 0.000 0.000 0.000 4.115 0.000 0.000 0.000 7.982" Properties=species:S:1:pos:R:3 pbc="T T T"
Li 0.000 0.000 0.000
Li 1.343 2.057 3.991
Tc 0.000 0.000 3.991
Tc 1.343 2.057 0.000
Ni 0.000 2.057 2.079
Ni 0.000 2.057 5.903
Ni 1.343 0.000 1.912
Ni 1.343 0.000 6.070
```

=====

[8]
A plane-wave DFT calculation with GGA-PBEsol was carried out for a geometry-optimized LiTcNi2 structure.

ρ = 8.02 g cm⁻³
D(E_F) = 16.00 states/eV/cell
Total moment = 0.0 μB per formula unit

The structure in extended XYZ format:
```
16
Lattice="5.688 0.000 0.000 0.000 5.688 0.000 0.000 0.000 5.688" Properties=species:S:1:pos:R:3 pbc="T T T"
Li 0.000 0.000 0.000
Li 0.000 2.844 2.844
Li 2.844 0.000 2.844
Li 2.844 2.844 0.000
Tc 0.000 0.000 2.844
Tc 0.000 2.844 0.000
Tc 2.844 0.000 0.000
Tc 2.844 2.844 2.844
Ni 1.422 1.422 1.422
Ni 1.422 1.422 4.266
Ni 1.422 4.266 1.422
Ni 1.422 4.266 4.266
Ni 4.266 1.422 1.422
Ni 4.266 1.422 4.266
Ni 4.266 4.266 1.422
Ni 4.266 4.266 4.266
```

=====

[9]
A plane-wave DFT calculation with GGA-PBEsol was carried out for a geometry-optimized LiTcNi3 structure.

ρ = 5.40 g cm⁻³
D(E_F) = 5.39 states/eV/cell
Total moment = 0.0 μB per formula unit

The structure in extended XYZ format:
```
5
Lattice="4.421 0.000 0.000 0.000 4.421 0.000 0.000 0.000 4.421" Properties=species:S:1:pos:R:3 pbc="T T T"
Li 0.000 0.000 0.000
Tc 2.210 2.210 2.210
Ni 0.000 2.210 2.210
Ni 2.210 0.000 2.210
Ni 2.210 2.210 0.000
```

=====

[10]
A plane-wave DFT calculation with GGA-PBEsol was carried out for a geometry-optimized LiTcNi2 structure.

ρ = 7.89 g cm⁻³
D(E_F) = 7.36 states/eV/cell
Total moment = 0.0 μB per formula unit

The structure in extended XYZ format:
```
8
Lattice="8.788 0.000 0.000 0.000 2.485 0.000 -0.970 0.000 4.282" Properties=species:S:1:pos:R:3 pbc="T T T"
Li 0.000 0.000 0.000
Li 4.394 1.243 0.000
Tc 1.282 0.000 2.713
Tc 5.676 1.243 2.713
Ni 2.107 1.243 0.621
Ni 3.660 0.000 2.080
Ni 6.501 0.000 0.621
Ni 8.053 1.243 2.080
```

=====

[11]
A plane-wave DFT calculation with GGA-PBEsol was carried out for a geometry-optimized LiTcNi2 structure.

ρ = 8.03 g cm⁻³
D(E_F) = 3.81 states/eV/cell
Total moment = 0.0 μB per formula unit

The structure in extended XYZ format:
```
4
Lattice="2.493 0.000 0.000 0.000 4.161 0.000 0.000 0.000 4.436" Properties=species:S:1:pos:R:3 pbc="T T T"
Li 0.000 0.000 0.000
Tc 0.000 2.080 2.800
Ni 1.246 0.000 2.129
Ni 1.246 2.080 0.556
```

=====

[12]
A plane-wave DFT calculation with GGA-PBEsol was carried out for a geometry-optimized Li2NiTe structure.

Raw formation energy = -1.68 eV per formula unit
ρ = 5.64 g cm⁻³
D(E_F) = 1.30 states/eV/cell
Total moment = 0.0 μB per formula unit

The structure in extended XYZ format:
```
4
Lattice="3.787 0.000 0.000 0.000 3.787 0.000 0.000 0.000 4.108" Properties=species:S:1:pos:R:3 pbc="T T T"
Li 0.000 1.893 0.000
Li 1.893 0.000 0.000
Ni 0.000 0.000 2.054
Te 1.893 1.893 2.054
```

=====

| no. | total energy (eV for the cell shown) |
| --- | --- |
| 1 | -32.06 |
| 2 | -64.43 |
| 3 | -79.18 |
| 4 | -21.90 |
| 5 | -25.16 |
| 6 | -25.40 |
| 7 | -49.11 |
| 8 | -98.92 |
| 9 | -25.97 |
| 10 | -50.65 |
| 11 | -25.41 |
| 12 | -15.30 |